(1)
DFT (PBE) results for a relaxed structure of Ta6Nb12Tc.

## Properties
As for the calculated volume: 358 Å³/cell. Its space-group type is R-3, No. 148. The crystal system is trigonal. The value obtained for the total energy is -10.54 eV/atom. Its formation energy is 2.1 eV/f.u.

abc: 7.100 7.100 7.100
angles: 88.60 88.60 88.60
Fractional coordinates of all 19 atoms:
1 Ta 0.234 0.757 0.386
2 Ta 0.243 0.614 0.766
3 Ta 0.386 0.234 0.757
4 Ta 0.614 0.766 0.243
5 Ta 0.757 0.386 0.234
6 Ta 0.766 0.243 0.614
7 Nb 0.019 0.312 0.922
8 Nb 0.078 0.981 0.688
9 Nb 0.120 0.354 0.438
10 Nb 0.312 0.922 0.019
11 Nb 0.354 0.438 0.120
12 Nb 0.438 0.120 0.354
13 Nb 0.562 0.880 0.646
14 Nb 0.646 0.562 0.880
15 Nb 0.688 0.078 0.981
16 Nb 0.880 0.646 0.562
17 Nb 0.922 0.019 0.312
18 Nb 0.981 0.688 0.078
19 Tc 0.500 0.500 0.500

---

(2)
DFT (PBE) results for a relaxed structure of TaNb2Tc.

## Properties
As for the calculated volume: 69 Å³/cell. Its space-group type is P4/mmm, No. 123. The crystal system is tetragonal. The value obtained for the total energy is -10.81 eV/atom. Its formation energy is -0.9 eV/f.u. The calculation puts the energy above the most stable polymorph in this dataset at 0.036 eV/atom.

abc: 3.234 3.234 6.575
angles: 90.00 90.00 90.00
Fractional coordinates of all 4 atoms:
1 Ta 0.000 0.000 0.000
2 Nb 0.500 0.500 0.259
3 Nb 0.500 0.500 0.741
4 Tc 0.000 0.000 0.500